Entry 1:
The following is a DFT calculation (PBE) of crystalline LiAsBr2N at its relaxed geometry.

```
LiAsBr2N
1.0
5.838 0.000 0.000
0.000 5.838 0.000
0.000 0.000 3.682
Li N As Br
1 1 1 2
Cartesian
2.919 2.919 1.841 Li
0.000 0.000 0.000 N
0.000 0.000 1.841 As
0.000 2.919 0.000 Br
2.919 0.000 0.000 Br
```

Results
Symmetry   No. 123
ΔE to the lowest computed polymorph   0.0 meV per atom

Entry 2:
The following is a DFT calculation (PBE) of crystalline Na2LiAsBr6 at its relaxed geometry.

```
Na2LiAsBr6
1.0
7.028 0.000 0.000
3.514 6.086 0.001
3.513 2.028 7.195
Br Na Li As
6 2 1 1
Cartesian
4.872 4.165 5.308 Br
8.199 5.869 5.308 Br
9.325 3.912 1.217 Br
8.011 2.137 5.308 Br
5.753 2.141 1.218 Br
6.005 6.120 1.218 Br
3.513 2.028 6.836 Na
7.028 4.057 3.196 Na
10.541 6.086 6.755 Li
7.027 4.057 6.917 As
```

Results
DFT total energy   -3.012 eV per atom
Symmetry   No. 146

Entry 3:
The following is a DFT calculation (PBE) of crystalline NaLi2AsBr6 at its relaxed geometry.

```
NaLi2AsBr6
1.0
6.987 0.000 0.000
3.494 6.051 0.000
3.493 2.017 6.420
As Br Li Na
1 6 2 1
Cartesian
3.494 2.017 0.061 As
8.206 2.336 4.899 Br
9.375 4.063 1.559 Br
5.769 6.087 1.558 Br
4.906 3.826 4.899 Br
7.847 5.939 4.899 Br
5.818 1.952 1.559 Br
10.481 6.051 0.020 Li
6.987 4.034 2.734 Li
10.479 6.051 3.587 Na
```

Results
DFT total energy   -3.044 eV per atom
Symmetry   No. 146

Entry 4:
The following is a DFT calculation (PBE) of crystalline NaLiAs2Br at its relaxed geometry.

```
NaLiAs2Br
1.0
5.195 0.000 0.000
0.000 5.195 0.000
0.000 0.000 5.714
As Li Br Na
2 1 1 1
Cartesian
0.000 2.598 0.000 As
2.598 0.000 0.000 As
2.598 2.598 2.857 Li
0.000 0.000 2.857 Br
0.000 0.000 0.000 Na
```

Results
Symmetry   No. 123
ΔE to the lowest computed polymorph   472.7 meV per atom

Computed N(E_F), in the same sequence as the records: 0.431; 0.000; 0.000; 0.682 states/eV/atom.
Computed spin magnetization, in the same sequence as the records: 0.00; 0.00; 0.00; 2.07 μB/f.u..